1.
## TlCo3Pt (GGA-PBE)

Data for an optimized crystal structure of TlCo3Pt.

Output
- D(E_F) (states/eV/cell) = 10.38
- size of the total moment (μB/f.u.) = 5.22
- space group = No. 221

```
data_TlCo3Pt
_cell_length_a 4.6735
_cell_length_b 4.6735
_cell_length_c 4.6735
_cell_angle_alpha 90.00
_cell_angle_beta 90.00
_cell_angle_gamma 90.00
_space_group_name_H-M_alt 'P 1'
_space_group_IT_number 1
loop_
_space_group_symop_operation_xyz
'x,y,z'
loop_
_atom_site_label
_atom_site_fract_x
_atom_site_fract_y
_atom_site_fract_z
_atom_site_occupancy
Co1 0.0000 0.5000 0.0000 1
Co2 0.0000 0.0000 0.5000 1
Tl1 0.0000 0.0000 0.0000 1
Pt1 0.5000 0.5000 0.5000 1
Co3 0.5000 0.0000 0.0000 1
```

=====

2.
## TlCo3Pt (GGA-PBE)

Data for an optimized crystal structure of TlCo3Pt.

Output
- D(E_F) (states/eV/cell) = 6.52
- size of the total moment (μB/f.u.) = 6.56
- space group = No. 221

```
data_TlCo3Pt
_cell_length_a 4.6814
_cell_length_b 4.6814
_cell_length_c 4.6814
_cell_angle_alpha 90.00
_cell_angle_beta 90.00
_cell_angle_gamma 90.00
_space_group_name_H-M_alt 'P 1'
_space_group_IT_number 1
loop_
_space_group_symop_operation_xyz
'x,y,z'
loop_
_atom_site_label
_atom_site_fract_x
_atom_site_fract_y
_atom_site_fract_z
_atom_site_occupancy
Co1 0.0000 0.0000 0.5000 1
Tl1 0.5000 0.5000 0.5000 1
Co2 0.0000 0.5000 0.0000 1
Co3 0.5000 0.0000 0.0000 1
Pt1 0.0000 0.0000 0.0000 1
```

=====

Which is most stable, and by how much? 2, by 0.842 eV/atom.

=====

1.
## TlCoPt3 (GGA-PBE)

Data for an optimized crystal structure of TlCoPt3.

Output
- D(E_F) (states/eV/cell) = 5.69
- size of the total moment (μB/f.u.) = 2.56
- space group = No. 221

```
data_TlCoPt3
_cell_length_a 4.6429
_cell_length_b 4.6429
_cell_length_c 4.6429
_cell_angle_alpha 90.00
_cell_angle_beta 90.00
_cell_angle_gamma 90.00
_space_group_name_H-M_alt 'P 1'
_space_group_IT_number 1
loop_
_space_group_symop_operation_xyz
'x,y,z'
loop_
_atom_site_label
_atom_site_fract_x
_atom_site_fract_y
_atom_site_fract_z
_atom_site_occupancy
Pt1 0.0000 0.5000 0.0000 1
Pt2 0.5000 0.0000 0.0000 1
Pt3 0.0000 0.0000 0.5000 1
Tl1 0.5000 0.5000 0.5000 1
Co1 0.0000 0.0000 0.0000 1
```

=====

2.
## TlCoPt3 (GGA-PBE)

Data for an optimized crystal structure of TlCoPt3.

Output
- D(E_F) (states/eV/cell) = 16.62
- size of the total moment (μB/f.u.) = 2.25
- space group = No. 221

```
data_TlCoPt3
_cell_length_a 5.0113
_cell_length_b 5.0113
_cell_length_c 5.0113
_cell_angle_alpha 90.00
_cell_angle_beta 90.00
_cell_angle_gamma 90.00
_space_group_name_H-M_alt 'P 1'
_space_group_IT_number 1
loop_
_space_group_symop_operation_xyz
'x,y,z'
loop_
_atom_site_label
_atom_site_fract_x
_atom_site_fract_y
_atom_site_fract_z
_atom_site_occupancy
Pt1 0.5000 0.0000 0.0000 1
Pt2 0.0000 0.0000 0.5000 1
Pt3 0.0000 0.5000 0.0000 1
Co1 0.5000 0.5000 0.5000 1
Tl1 0.0000 0.0000 0.0000 1
```

=====

Which is most stable, and by how much? 1, by 1.064 eV/atom.

=====

1.
## TlCo2Pt2 (GGA-PBE)

Data for an optimized crystal structure of TlCo2Pt2.

Output
- D(E_F) (states/eV/cell) = 15.88
- size of the total moment (μB/f.u.) = 4.50
- space group = No. 127

```
data_TlCo2Pt2
_cell_length_a 7.5254
_cell_length_b 7.5254
_cell_length_c 2.8161
_cell_angle_alpha 90.00
_cell_angle_beta 90.00
_cell_angle_gamma 90.00
_space_group_name_H-M_alt 'P 1'
_space_group_IT_number 1
loop_
_space_group_symop_operation_xyz
'x,y,z'
loop_
_atom_site_label
_atom_site_fract_x
_atom_site_fract_y
_atom_site_fract_z
_atom_site_occupancy
Pt1 0.6306 0.1306 0.0000 1
Pt2 0.1306 0.3694 0.0000 1
Co1 0.6641 0.8359 0.5000 1
Pt3 0.8694 0.6306 0.0000 1
Pt4 0.3694 0.8694 0.0000 1
Tl1 0.5000 0.5000 0.0000 1
Co2 0.1641 0.6641 0.5000 1
Co3 0.3359 0.1641 0.5000 1
Co4 0.8359 0.3359 0.5000 1
Tl2 0.0000 0.0000 0.0000 1
```

=====

2.
## TlCo2Pt2 (GGA-PBE)

Data for an optimized crystal structure of TlCo2Pt2.

Output
- D(E_F) (states/eV/cell) = 4.09
- size of the total moment (μB/f.u.) = 4.33
- space group = No. 139

```
data_TlCo2Pt2
_cell_length_a 3.8421
_cell_length_b 3.8421
_cell_length_c 6.2702
_cell_angle_alpha 72.16
_cell_angle_beta 72.16
_cell_angle_gamma 90.00
_space_group_name_H-M_alt 'P 1'
_space_group_IT_number 1
loop_
_space_group_symop_operation_xyz
'x,y,z'
loop_
_atom_site_label
_atom_site_fract_x
_atom_site_fract_y
_atom_site_fract_z
_atom_site_occupancy
Pt1 0.7500 0.2500 0.5000 1
Co1 0.5995 0.5995 0.8009 1
Co2 0.4005 0.4005 0.1991 1
Tl1 0.0000 0.0000 0.0000 1
Pt2 0.2500 0.7500 0.5000 1
```

=====

Which is most stable, and by how much? 1, by 0.068 eV/atom.

=====

1.
## Tm8Co2Pt (GGA-PBE)

Data for an optimized crystal structure of Tm8Co2Pt.

Output
- D(E_F) (states/eV/cell) = 10.96
- size of the total moment (μB/f.u.) = 0.00
- space group = No. 8

```
data_Tm8Co2Pt
_cell_length_a 5.7416
_cell_length_b 7.3462
_cell_length_c 7.3462
_cell_angle_alpha 112.42
_cell_angle_beta 99.61
_cell_angle_gamma 99.61
_space_group_name_H-M_alt 'P 1'
_space_group_IT_number 1
loop_
_space_group_symop_operation_xyz
'x,y,z'
loop_
_atom_site_label
_atom_site_fract_x
_atom_site_fract_y
_atom_site_fract_z
_atom_site_occupancy
Pt1 0.1378 0.9998 0.9998 1
Co1 0.4882 0.6946 0.3151 1
Tm1 0.5794 0.3431 0.0783 1
Tm2 0.9875 0.7801 0.2245 1
Tm3 0.5794 0.0783 0.3431 1
Tm4 0.9875 0.2245 0.7801 1
Co2 0.4882 0.3151 0.6946 1
Tm5 0.7985 0.6344 0.6344 1
Tm6 0.3895 0.9307 0.6659 1
Tm7 0.1742 0.3674 0.3674 1
Tm8 0.3895 0.6659 0.9307 1
```

=====

2.
## Tm8Co2Pt (GGA-PBE)

Data for an optimized crystal structure of Tm8Co2Pt.

Output
- D(E_F) (states/eV/cell) = 11.47
- size of the total moment (μB/f.u.) = 0.00
- space group = No. 12

```
data_Tm8Co2Pt
_cell_length_a 4.8600
_cell_length_b 6.6180
_cell_length_c 8.7905
_cell_angle_alpha 106.43
_cell_angle_beta 106.05
_cell_angle_gamma 90.00
_space_group_name_H-M_alt 'P 1'
_space_group_IT_number 1
loop_
_space_group_symop_operation_xyz
'x,y,z'
loop_
_atom_site_label
_atom_site_fract_x
_atom_site_fract_y
_atom_site_fract_z
_atom_site_occupancy
Tm1 0.6733 0.9746 0.3465 1
Tm2 0.4043 0.5421 0.8087 1
Tm3 0.9636 0.2129 0.9271 1
Co1 0.1872 0.7070 0.3743 1
Tm4 0.0364 0.7871 0.0729 1
Tm5 0.5957 0.4579 0.1913 1
Pt1 0.5000 0.0000 0.0000 1
Tm6 0.2028 0.3231 0.4055 1
Tm7 0.7972 0.6769 0.5945 1
Co2 0.8128 0.2930 0.6257 1
Tm8 0.3267 0.0254 0.6535 1
```

=====

Which is most stable, and by how much? 2, by 0.057 eV/atom.

=====

1.
## Tm4CoPt (GGA-PBE)

Data for an optimized crystal structure of Tm4CoPt.

Output
- D(E_F) (states/eV/cell) = 10.27
- size of the total moment (μB/f.u.) = 0.00
- space group = No. 15

```
data_Tm4CoPt
_cell_length_a 6.6478
_cell_length_b 6.6474
_cell_length_c 8.1732
_cell_angle_alpha 113.63
_cell_angle_beta 114.00
_cell_angle_gamma 90.00
_space_group_name_H-M_alt 'P 1'
_space_group_IT_number 1
loop_
_space_group_symop_operation_xyz
'x,y,z'
loop_
_atom_site_label
_atom_site_fract_x
_atom_site_fract_y
_atom_site_fract_z
_atom_site_occupancy
Co1 0.5000 0.5000 0.5000 1
Tm1 0.6601 0.0920 0.2548 1
Tm2 0.3399 0.9080 0.7452 1
Co2 0.0000 0.0000 0.5000 1
Tm3 0.8393 0.8419 0.7439 1
Pt1 0.2497 0.7500 0.0000 1
Tm4 0.0954 0.6581 0.2561 1
Tm5 0.9046 0.3419 0.7439 1
Tm6 0.5947 0.5920 0.2548 1
Tm7 0.1607 0.1581 0.2561 1
Tm8 0.4053 0.4080 0.7452 1
Pt2 0.7503 0.2500 0.0000 1
```

=====

2.
## Tm4CoPt (GGA-PBE)

Data for an optimized crystal structure of Tm4CoPt.

Output
- D(E_F) (states/eV/cell) = 13.19
- size of the total moment (μB/f.u.) = 0.00
- space group = No. 15

```
data_Tm4CoPt
_cell_length_a 6.0597
_cell_length_b 7.7829
_cell_length_c 7.7829
_cell_angle_alpha 111.97
_cell_angle_beta 107.69
_cell_angle_gamma 107.69
_space_group_name_H-M_alt 'P 1'
_space_group_IT_number 1
loop_
_space_group_symop_operation_xyz
'x,y,z'
loop_
_atom_site_label
_atom_site_fract_x
_atom_site_fract_y
_atom_site_fract_z
_atom_site_occupancy
Tm1 0.7802 0.6469 0.7685 1
Tm2 0.4030 0.6969 0.0522 1
Tm3 0.7198 0.2315 0.3531 1
Co1 0.2500 0.0015 0.9985 1
Tm4 0.5970 0.3031 0.9478 1
Tm5 0.9030 0.0522 0.6969 1
Tm6 0.2802 0.7685 0.6469 1
Pt1 0.2500 0.3625 0.6375 1
Pt2 0.7500 0.6375 0.3625 1
Tm7 0.0970 0.9478 0.3031 1
Co2 0.7500 0.9985 0.0015 1
Tm8 0.2198 0.3531 0.2315 1
```

=====

Which is most stable, and by how much? 2, by 0.051 eV/atom.

=====

1.
## VCoPt (GGA-PBE)

Data for an optimized crystal structure of VCoPt.

Output
- D(E_F) (states/eV/cell) = 5.65
- size of the total moment (μB/f.u.) = 0.05
- space group = No. 63

```
data_VCoPt
_cell_length_a 3.6890
_cell_length_b 3.8030
_cell_length_c 5.8810
_cell_angle_alpha 90.00
_cell_angle_beta 108.24
_cell_angle_gamma 90.00
_space_group_name_H-M_alt 'P 1'
_space_group_IT_number 1
loop_
_space_group_symop_operation_xyz
'x,y,z'
loop_
_atom_site_label
_atom_site_fract_x
_atom_site_fract_y
_atom_site_fract_z
_atom_site_occupancy
Co1 0.3154 0.8664 0.9239 1
V1 0.1675 0.3665 0.6270 1
Co2 0.8118 0.3664 0.9154 1
V2 0.9597 0.8665 0.2121 1
Pt1 0.6484 0.8665 0.5892 1
Pt2 0.4787 0.3665 0.2501 1
```

=====

2.
## VCoPt (GGA-PBE)

Data for an optimized crystal structure of VCoPt.

Output
- D(E_F) (states/eV/cell) = 2.51
- size of the total moment (μB/f.u.) = 0.00
- space group = No. 107

```
data_VCoPt
_cell_length_a 3.0102
_cell_length_b 3.0102
_cell_length_c 4.8602
_cell_angle_alpha 108.04
_cell_angle_beta 108.04
_cell_angle_gamma 90.00
_space_group_name_H-M_alt 'P 1'
_space_group_IT_number 1
loop_
_space_group_symop_operation_xyz
'x,y,z'
loop_
_atom_site_label
_atom_site_fract_x
_atom_site_fract_y
_atom_site_fract_z
_atom_site_occupancy
V1 0.9720 0.9720 0.9440 1
Pt1 0.2857 0.2857 0.5714 1
Co1 0.5923 0.5923 0.1846 1
```

=====

Which is most stable, and by how much? 1, by 0.079 eV/atom.

=====

1.
## VCoPt (GGA-PBE)

Data for an optimized crystal structure of VCoPt.

Output
- D(E_F) (states/eV/cell) = 6.48
- size of the total moment (μB/f.u.) = 1.01
- space group = No. 129

```
data_VCoPt
_cell_length_a 2.6841
_cell_length_b 2.6835
_cell_length_c 11.3178
_cell_angle_alpha 76.26
_cell_angle_beta 90.00
_cell_angle_gamma 90.00
_space_group_name_H-M_alt 'P 1'
_space_group_IT_number 1
loop_
_space_group_symop_operation_xyz
'x,y,z'
loop_
_atom_site_label
_atom_site_fract_x
_atom_site_fract_y
_atom_site_fract_z
_atom_site_occupancy
V1 0.7163 0.6833 0.8779 1
V2 0.2160 0.7328 0.3292 1
Co1 0.7163 0.3882 0.1731 1
Pt1 0.7160 0.0596 0.5018 1
Pt2 0.2163 0.3563 0.7054 1
Co2 0.2163 0.0281 0.0340 1
```

=====

2.
## VCoPt (GGA-PBE)

Data for an optimized crystal structure of VCoPt.

Output
- D(E_F) (states/eV/cell) = 4.45
- size of the total moment (μB/f.u.) = 1.41
- space group = No. 187

```
data_VCoPt
_cell_length_a 2.6187
_cell_length_b 4.2372
_cell_length_c 4.2372
_cell_angle_alpha 120.00
_cell_angle_beta 90.00
_cell_angle_gamma 90.00
_space_group_name_H-M_alt 'P 1'
_space_group_IT_number 1
loop_
_space_group_symop_operation_xyz
'x,y,z'
loop_
_atom_site_label
_atom_site_fract_x
_atom_site_fract_y
_atom_site_fract_z
_atom_site_occupancy
Pt1 0.1659 0.0000 0.0000 1
Co1 0.1678 0.3333 0.6667 1
V1 0.6662 0.6667 0.3333 1
```

=====

Which is most stable, and by how much? 1, by 0.109 eV/atom.

=====

1.
## VCoPt3 (GGA-PBE)

Data for an optimized crystal structure of VCoPt3.

Output
- D(E_F) (states/eV/cell) = 10.21
- size of the total moment (μB/f.u.) = 1.71
- space group = No. 15

```
data_VCoPt3
_cell_length_a 4.6706
_cell_length_b 4.6594
_cell_length_c 7.2953
_cell_angle_alpha 84.10
_cell_angle_beta 71.33
_cell_angle_gamma 71.43
_space_group_name_H-M_alt 'P 1'
_space_group_IT_number 1
loop_
_space_group_symop_operation_xyz
'x,y,z'
loop_
_atom_site_label
_atom_site_fract_x
_atom_site_fract_y
_atom_site_fract_z
_atom_site_occupancy
Pt1 0.4546 0.8445 0.8096 1
Pt2 0.1496 0.3441 0.4191 1
Pt3 0.7618 0.3445 0.1947 1
Co1 0.3561 0.3446 0.0057 1
V1 0.5561 0.3448 0.6054 1
Pt4 0.6493 0.8443 0.4198 1
Pt5 0.2615 0.8447 0.1955 1
Co2 0.0550 0.8442 0.6088 1
V2 0.8550 0.8440 0.0091 1
Pt6 0.9565 0.3443 0.8050 1
```

=====

2.
## VCoPt3 (GGA-PBE)

Data for an optimized crystal structure of VCoPt3.

Output
- D(E_F) (states/eV/cell) = 5.01
- size of the total moment (μB/f.u.) = 2.18
- space group = No. 221

```
data_VCoPt3
_cell_length_a 4.6032
_cell_length_b 4.6032
_cell_length_c 4.6032
_cell_angle_alpha 90.00
_cell_angle_beta 90.00
_cell_angle_gamma 90.00
_space_group_name_H-M_alt 'P 1'
_space_group_IT_number 1
loop_
_space_group_symop_operation_xyz
'x,y,z'
loop_
_atom_site_label
_atom_site_fract_x
_atom_site_fract_y
_atom_site_fract_z
_atom_site_occupancy
Pt1 0.0000 0.0000 0.5000 1
Co1 0.5000 0.5000 0.5000 1
V1 0.0000 0.0000 0.0000 1
Pt2 0.5000 0.0000 0.0000 1
Pt3 0.0000 0.5000 0.0000 1
```

=====

3.
## VCoPt3 (GGA-PBE)

Data for an optimized crystal structure of VCoPt3.

Output
- D(E_F) (states/eV/cell) = 10.17
- size of the total moment (μB/f.u.) = 5.75
- space group = No. 221

```
data_VCoPt3
_cell_length_a 4.5402
_cell_length_b 4.5402
_cell_length_c 4.5402
_cell_angle_alpha 90.00
_cell_angle_beta 90.00
_cell_angle_gamma 90.00
_space_group_name_H-M_alt 'P 1'
_space_group_IT_number 1
loop_
_space_group_symop_operation_xyz
'x,y,z'
loop_
_atom_site_label
_atom_site_fract_x
_atom_site_fract_y
_atom_site_fract_z
_atom_site_occupancy
Pt1 0.0000 0.5000 0.0000 1
Pt2 0.5000 0.0000 0.0000 1
V1 0.5000 0.5000 0.5000 1
Pt3 0.0000 0.0000 0.5000 1
Co1 0.0000 0.0000 0.0000 1
```

=====

Which is most stable, and by how much? 1, by 1.256 eV/atom.